Record 1
# PaGeIr

PaGeIr after structural relaxation (PBE, Alexandria).

Geometry as POSCAR:
```
PaGeIr
1.0
4.352 0.000 0.000
0.000 13.943 0.000
0.000 0.000 7.639
Pa Ge Ir
8 8 8
direct
0.250 0.003 0.213
0.250 0.250 0.291
0.250 0.497 0.213
0.250 0.750 0.293
0.750 0.250 0.707
0.750 0.503 0.787
0.750 0.750 0.709
0.750 0.997 0.787
0.250 0.104 0.587
0.250 0.396 0.587
0.250 0.650 0.915
0.250 0.850 0.915
0.750 0.150 0.085
0.750 0.350 0.085
0.750 0.604 0.413
0.750 0.896 0.413
0.250 0.135 0.917
0.250 0.365 0.917
0.250 0.607 0.586
0.250 0.893 0.586
0.750 0.107 0.414
0.750 0.393 0.414
0.750 0.635 0.083
0.750 0.865 0.083
```

Summary:
Energy of formation ... -0.832 eV per atom
Symmetry ... Pmmn, No. 59

=====

Record 2
# K4Dy3SbS8

K4Dy3SbS8 after structural relaxation (PBE, Alexandria).

Geometry as POSCAR:
```
K4Dy3SbS8
1.0
4.065 2.347 7.354
-4.065 2.347 7.354
0.000 -4.694 7.354
K Dy Sb S
4 3 1 8
direct
0.000 0.000 0.000
0.000 0.500 0.500
0.500 0.000 0.500
0.500 0.500 0.000
0.000 0.000 0.500
0.000 0.500 0.000
0.500 0.000 0.000
0.500 0.500 0.500
0.232 0.735 0.735
0.234 0.234 0.234
0.265 0.265 0.768
0.265 0.768 0.265
0.735 0.232 0.735
0.735 0.735 0.232
0.766 0.766 0.766
0.768 0.265 0.265
```

Summary:
Uncorrected energy ... -5.051 eV/atom
Symmetry ... R-3m, No. 166

=====

Record 3
# Sr4ScRu

Sr4ScRu after structural relaxation (PBE, Alexandria).

Geometry as POSCAR:
```
Sr4ScRu
1.0
0.000 4.826 4.826
4.826 0.000 4.826
4.826 4.826 0.000
Sr Sc Ru
4 1 1
direct
0.124 0.124 0.124
0.124 0.124 0.627
0.124 0.627 0.124
0.627 0.124 0.124
0.500 0.500 0.500
0.750 0.750 0.750
```

Summary:
Energy of formation ... 1.136 eV per atom
Symmetry ... F-43m, No. 216

=====

Record 4
# KTaTc2

KTaTc2 after structural relaxation (PBE, Alexandria).

Geometry as POSCAR:
```
KTaTc2
1.0
0.000 3.296 3.296
3.296 0.000 3.296
3.296 3.296 0.000
K Ta Tc
1 1 2
direct
0.000 0.000 0.000
0.500 0.500 0.500
0.250 0.250 0.250
0.750 0.750 0.750
```

Summary:
Energy of formation ... 1.262 eV per atom
Symmetry ... Fm-3m, No. 225